K2MnRu: relaxed, GGA-PBE.

Properties
excess energy over the best structure of this formula in the dataset: 0.6316 eV/atom
E_form: 1.286 eV per atom

Unit cell a=11.905 b=11.905 c=11.905 alpha=14.25 beta=14.25 gamma=14.25
Site moments in Bohr magnetons follow the coordinates.
Sites, in units of the cell vectors:
Mn (0.250, 0.250, 0.250)  3.61
K (0.494, 0.494, 0.494)  -0.01
K (0.006, 0.006, 0.006)  -0.01
Ru (0.750, 0.750, 0.750)  -0.34